The following is a DFT calculation (GGA-PBE) of a relaxed Nd3Al3Zn2 crystal.

relative energy among the computed polymorphs: 0.00 kJ/mol of atoms
crystal system: orthorhombic

a b c (Å): 4.5954 5.8650 15.1448
angles (deg): 90.00 90.00 113.06
Fractional positions:
Zn 0.7991 0.5982 0.9021
Al 0.6143 0.2286 0.4632
Zn 0.7991 0.5982 0.5979
Al 0.3857 0.7714 0.9632
Nd 0.0969 0.1939 0.6097
Al 0.6143 0.2286 0.0368
Al 0.3857 0.7714 0.5368
Zn 0.2009 0.4018 0.4021
Nd 0.3761 0.7522 0.7500
Nd 0.6239 0.2478 0.2500
Nd 0.0969 0.1939 0.8903
Al 0.3264 0.6528 0.2500
Zn 0.2009 0.4018 0.0979
Nd 0.9031 0.8061 0.1097
Al 0.6736 0.3472 0.7500
Nd 0.9031 0.8061 0.3903

=====

The following is a DFT calculation (GGA-PBE) of a relaxed YHo2Tm7 crystal.

relative energy among the computed polymorphs: 63.59 kJ/mol of atoms
crystal system: orthorhombic

a b c (Å): 5.2161 9.4362 9.4362
angles (deg): 125.56 90.00 90.00
Fractional positions:
Tm 0.5000 0.9324 0.7120
Tm 0.5000 0.7120 0.9324
Y 0.0000 0.0000 0.0000
Tm 0.5000 0.2880 0.0676
Tm 0.5000 0.5000 0.5000
Tm 0.0000 0.8017 0.1983
Tm 0.5000 0.0676 0.2880
Tm 0.0000 0.1983 0.8017
Ho 0.5000 0.7013 0.2987
Ho 0.5000 0.2987 0.7013

=====

The following is a DFT calculation (GGA-PBE) of a relaxed AcTlS crystal.

crystal system: monoclinic
formation energy without anion corrections: -1176 meV/atom

a b c (Å): 5.2750 4.7651 8.2033
angles (deg): 73.11 90.07 90.01
Fractional positions:
S 0.2499 0.2640 0.4723
Ac 0.7495 0.3446 0.3107
S 0.7501 0.7360 0.5277
Tl 0.2501 0.9525 0.0969
Tl 0.7499 0.0475 0.9031
Ac 0.2505 0.6554 0.6893

=====

The following is a DFT calculation (GGA-PBE) of a relaxed Tl6Ni3I14 crystal.

crystal system: trigonal
formation energy without anion corrections: -322 meV/atom

a b c (Å): 7.1413 12.4576 12.4576
angles (deg): 120.00 90.00 90.00
Site moments in Bohr magnetons follow the coordinates.
Fractional positions:
I 0.9618 0.1412 0.9224  0.18
I 0.2787 0.8745 0.4109  0.06
I 0.9618 0.7812 0.8588  0.18
I 0.2787 0.5364 0.1255  0.06
Tl 0.7293 0.0316 0.4748  0.01
Tl 0.2747 0.8044 0.1041  0.01
Tl 0.7293 0.5252 0.5568  0.01
Tl 0.2747 0.2998 0.1956  0.01
I 0.7072 0.7473 0.2064  0.06
I 0.9618 0.0776 0.2188  0.18
I 0.4926 0.0000 0.0000  0.17
I 0.4502 0.2005 0.7538  0.17
Tl 0.7293 0.4432 0.9684  0.01
I 0.7072 0.7936 0.5409  0.06
I 0.4502 0.2462 0.4467  0.17
I 0.2787 0.5891 0.4636  0.06
Ni 0.4912 0.6667 0.3333  0.75
I 0.9782 0.3333 0.6667  0.19
Tl 0.2747 0.8959 0.7002  0.01
Ni 0.8457 0.0000 0.0000  1.31
Ni 0.3297 0.3333 0.6667  1.30
I 0.7072 0.4591 0.2527  0.06
I 0.4502 0.5533 0.7995  0.17

=====

The following is a DFT calculation (GGA-PBE) of a relaxed TbAl2CuAu4 crystal.

crystal system: trigonal
uncorrected energy: -4.15 eV per atom

a b c (Å): 4.4357 4.4357 9.0012
angles (deg): 75.74 75.74 60.00
Fractional positions:
Tb 0.0000 0.0000 0.0000
Al 0.7605 0.7605 0.7186
Cu 0.5000 0.5000 0.5000
Au 0.3962 0.3962 0.8114
Al 0.2395 0.2395 0.2814
Au 0.1316 0.1316 0.6053
Au 0.8684 0.8684 0.3947
Au 0.6038 0.6038 0.1886

=====

The following is a DFT calculation (GGA-PBE) of a relaxed Sr2LiCe crystal.

crystal system: trigonal
uncorrected energy: -2.42 eV per atom

a b c (Å): 3.7532 3.7532 13.2967
angles (deg): 81.89 81.89 60.00
Site moments in Bohr magnetons follow the coordinates.
Fractional positions:
Sr 0.0914 0.0914 0.7259  0.01
Li 0.5000 0.5000 0.5000  0.00
Sr 0.9086 0.9086 0.2741  0.01
Ce 0.0000 0.0000 0.0000  1.27

=====

The following is a DFT calculation (GGA-PBE) of a relaxed BeMo2SeN crystal.

crystal system: tetragonal
formation energy without anion corrections: 1649 meV/atom

a b c (Å): 4.3185 3.7709 4.3185
angles (deg): 90.00 90.00 90.00
Fractional positions:
Be 0.0000 0.0000 0.0000
Mo 0.5000 0.0000 0.0000
Se 0.0000 0.5000 0.0000
Mo 0.0000 0.0000 0.5000
N 0.5000 0.5000 0.5000

=====

The following is a DFT calculation (GGA-PBE) of a relaxed La2DyAl4Au3 crystal.

crystal system: tetragonal
uncorrected energy: -4.57 eV per atom

a b c (Å): 4.4092 4.4092 11.7269
angles (deg): 90.00 90.00 90.00
Fractional positions:
Al 0.0000 0.5000 0.3341
Au 0.0000 0.0000 0.5000
Al 0.5000 0.5000 0.0000
Al 0.5000 0.0000 0.6659
Dy 0.5000 0.5000 0.5000
Al 0.0000 0.0000 0.0000
La 0.0000 0.5000 0.7671
Au 0.5000 0.0000 0.8808
Au 0.0000 0.5000 0.1192
La 0.5000 0.0000 0.2329

=====

The following is a DFT calculation (GGA-PBE) of a relaxed Dy4Zn3Ag2 crystal.

crystal system: trigonal
uncorrected energy: -3.35 eV per atom

a b c (Å): 4.9062 4.9062 9.7949
angles (deg): 90.02 90.02 60.01
Fractional positions:
Zn 0.6666 0.6666 0.4999
Zn 0.0000 0.0000 0.0000
Dy 0.6666 0.6666 0.1097
Ag 0.3332 0.3332 0.1997
Dy 0.3334 0.3334 0.8903
Dy 0.0000 0.0000 0.6657
Zn 0.3335 0.3335 0.5001
Dy 0.0000 0.0000 0.3343
Ag 0.6668 0.6668 0.8003

=====

The following is a DFT calculation (GGA-PBE) of a relaxed H2Pb2S3 crystal.

crystal system: monoclinic
uncorrected energy: -4.07 eV per atom

a b c (Å): 4.2594 7.1456 7.6352
angles (deg): 130.36 106.20 90.00
Fractional positions:
H 0.1726 0.5299 0.3453
S 0.0000 0.0000 0.0000
Pb 0.5636 0.8344 0.1271
Pb 0.4364 0.1656 0.8729
H 0.8274 0.4701 0.6547
S 0.1858 0.7373 0.3715
S 0.8142 0.2627 0.6285

=====

The following is a DFT calculation (GGA-PBE) of a relaxed YSi2Pd crystal.

crystal system: tetragonal
formation energy without anion corrections: -452 meV/atom

a b c (Å): 4.4852 4.4852 8.9074
angles (deg): 75.42 75.42 90.00
Fractional positions:
Si 0.7659 0.1250 0.2500
Pd 0.0000 0.0000 0.0000
Si 0.3750 0.2341 0.7500
Pd 0.7500 0.2500 0.5000
Si 0.8750 0.0159 0.7500
Si 0.9841 0.6250 0.2500
Y 0.2500 0.7500 0.5000
Y 0.5000 0.5000 0.0000

=====

The following is a DFT calculation (GGA-PBE) of a relaxed CeDy2Co2 crystal.

relative energy among the computed polymorphs: 0.40 kJ/mol of atoms
crystal system: monoclinic

a b c (Å): 6.0169 5.9948 7.0056
angles (deg): 98.82 90.00 120.12
Fractional positions:
Ce 0.0796 0.0000 0.7500
Co 0.3038 0.3049 0.5128
Ce 0.9204 0.0000 0.2500
Co 0.6962 0.6951 0.4872
Co 0.0011 0.3049 0.0128
Dy 0.5464 0.3073 0.1492
Dy 0.2391 0.6927 0.3508
Dy 0.7609 0.3073 0.6492
Dy 0.4536 0.6927 0.8508
Co 0.9989 0.6951 0.9872

=====

The following is a DFT calculation (GGA-PBE) of a relaxed NdCd2Bi crystal.

crystal system: tetragonal
uncorrected energy: -3.06 eV per atom

a b c (Å): 5.1313 4.6094 4.6094
angles (deg): 90.00 90.00 90.00
Fractional positions:
Bi 0.5000 0.5000 0.5000
Nd 0.5000 0.0000 0.0000
Cd 0.0000 0.5000 0.0000
Cd 0.0000 0.0000 0.5000

=====

The following is a DFT calculation (GGA-PBE) of a relaxed MnSbSe2I crystal.

crystal system: monoclinic
formation energy without anion corrections: -346 meV/atom

a b c (Å): 7.0387 7.0387 10.2388
angles (deg): 88.27 88.27 33.53
Site moments in Bohr magnetons follow the coordinates.
Fractional positions:
Se 0.0721 0.0721 0.7392  0.04
Se 0.9279 0.9279 0.2608  0.04
Sb 0.2939 0.2939 0.3186  0.05
Se 0.3632 0.3632 0.5568  0.05
I 0.3665 0.3665 0.9271  0.08
Se 0.6368 0.6368 0.4432  0.05
I 0.6335 0.6335 0.0729  0.08
Mn 0.0000 0.0000 0.5000  4.28
Mn 0.0000 0.0000 0.0000  4.30
Sb 0.7061 0.7061 0.6814  0.05

=====

The following is a DFT calculation (GGA-PBE) of a relaxed Co2C2Br crystal.

relative energy among the computed polymorphs: 24.12 kJ/mol of atoms
crystal system: tetragonal
formation energy without anion corrections: 1101 meV/atom

a b c (Å): 6.5512 6.5512 3.1314
angles (deg): 90.00 90.00 90.00
Site moments in Bohr magnetons follow the coordinates.
Fractional positions:
C 0.9260 0.4260 0.5000  0.09
Co 0.8688 0.6312 0.0000  1.74
Co 0.6312 0.1312 0.0000  1.74
C 0.4260 0.0740 0.5000  0.09
Co 0.3688 0.8688 0.0000  1.74
C 0.0740 0.5740 0.5000  0.09
Br 0.5000 0.5000 0.0000  0.15
C 0.5740 0.9260 0.5000  0.09
Co 0.1312 0.3688 0.0000  1.74
Br 0.0000 0.0000 0.0000  0.15